# Na3TcRu, relaxed, DFT PBE
# Energy of formation from the pure elements = 1.83 eV per atom
# Calculated total energy = -2.890 eV per atom
# Energy above the lowest structure with this stoichiometry = 0.0 kJ/mol of formula units
data_Na3TcRu
_chemical_formula_sum 'Na3 Tc1 Ru1'
_cell_length_a 5.326
_cell_length_b 5.326
_cell_length_c 5.326
_cell_angle_alpha 90.00
_cell_angle_beta 90.00
_cell_angle_gamma 90.00
_symmetry_space_group_name_H-M 'P m -3 m'
_symmetry_Int_Tables_number 221
_symmetry_space_group_name_Hall '-P 4 2 3'
loop_
_atom_site_label
_atom_site_type_symbol
_atom_site_fract_x
_atom_site_fract_y
_atom_site_fract_z
Na1 Na 0.000 0.000 0.500
Tc1 Tc 0.500 0.500 0.500
Ru1 Ru 0.000 0.000 0.000



# NaTc2Ru, relaxed, DFT PBE
# Energy of formation from the pure elements = 1.04 eV per atom
# Calculated total energy = -6.790 eV per atom
# Energy above the lowest structure with this stoichiometry = 64.8 kJ/mol of formula units
data_NaTc2Ru
_chemical_formula_sum 'Na4 Tc8 Ru4'
_cell_length_a 7.351
_cell_length_b 7.351
_cell_length_c 5.262
_cell_angle_alpha 90.00
_cell_angle_beta 90.00
_cell_angle_gamma 90.00
_symmetry_space_group_name_H-M 'I -4 2 d'
_symmetry_Int_Tables_number 122
_symmetry_space_group_name_Hall 'I -4 2bw'
loop_
_atom_site_label
_atom_site_type_symbol
_atom_site_fract_x
_atom_site_fract_y
_atom_site_fract_z
Na1 Na 0.000 0.000 0.000
Tc1 Tc 0.193 0.250 0.625
Ru1 Ru 0.000 0.000 0.500



# NaTc2Ru, relaxed, DFT PBE
# Energy of formation from the pure elements = 0.87 eV per atom
# Calculated total energy = -6.958 eV per atom
# Energy above the lowest structure with this stoichiometry = 0.0 kJ/mol of formula units
data_NaTc2Ru
_chemical_formula_sum 'Na4 Tc8 Ru4'
_cell_length_a 6.206
_cell_length_b 6.206
_cell_length_c 6.206
_cell_angle_alpha 90.00
_cell_angle_beta 90.00
_cell_angle_gamma 90.00
_symmetry_space_group_name_H-M 'F m -3 m'
_symmetry_Int_Tables_number 225
_symmetry_space_group_name_Hall '-F 4 2 3'
loop_
_atom_site_label
_atom_site_type_symbol
_atom_site_fract_x
_atom_site_fract_y
_atom_site_fract_z
Na1 Na 0.000 0.000 0.000
Tc1 Tc 0.250 0.250 0.250
Ru1 Ru 0.000 0.000 0.500



# NaTcRu2, relaxed, DFT PBE
# Energy of formation from the pure elements = 0.63 eV per atom
# Calculated total energy = -6.925 eV per atom
# Energy above the lowest structure with this stoichiometry = 0.0 kJ/mol of formula units
data_NaTcRu2
_chemical_formula_sum 'Na4 Tc4 Ru8'
_cell_length_a 6.171
_cell_length_b 6.171
_cell_length_c 6.171
_cell_angle_alpha 90.00
_cell_angle_beta 90.00
_cell_angle_gamma 90.00
_symmetry_space_group_name_H-M 'F m -3 m'
_symmetry_Int_Tables_number 225
_symmetry_space_group_name_Hall '-F 4 2 3'
loop_
_atom_site_label
_atom_site_type_symbol
_atom_site_fract_x
_atom_site_fract_y
_atom_site_fract_z
Na1 Na 0.000 0.000 0.000
Tc1 Tc 0.000 0.000 0.500
Ru1 Ru 0.250 0.250 0.250



# NaTeRu, relaxed, DFT PBE
# Calculated total energy = -4.829 eV per atom
# ΔE_f (raw) = -0.250 eV per atom
data_NaTeRu
_chemical_formula_sum 'Na2 Te2 Ru2'
_cell_length_a 4.343
_cell_length_b 4.343
_cell_length_c 7.148
_cell_angle_alpha 90.00
_cell_angle_beta 90.00
_cell_angle_gamma 90.00
_symmetry_space_group_name_H-M 'P 4/n m m'
_symmetry_Int_Tables_number 129
loop_
_symmetry_equiv_pos_as_xyz
'x,y,z'
'-x,-y,-z'
'-y+1/2,x,z'
'y+1/2,-x,-z'
'-x+1/2,-y+1/2,z'
'x+1/2,y+1/2,-z'
'y,-x+1/2,z'
'-y,x+1/2,-z'
'x+1/2,-y,-z'
'-x+1/2,y,z'
'-y,-x,-z'
'y,x,z'
'-x,y+1/2,-z'
'x,-y+1/2,z'
'y+1/2,x+1/2,-z'
'-y+1/2,-x+1/2,z'
loop_
_atom_site_label
_atom_site_type_symbol
_atom_site_fract_x
_atom_site_fract_y
_atom_site_fract_z
Na1 Na 0.250 0.250 0.171
Te1 Te 0.250 0.250 0.709
Ru1 Ru 0.250 0.750 0.500



# Na2TeRu, relaxed, DFT PBE
# Calculated total energy = -3.443 eV per atom
# ΔE_f (raw) = 0.321 eV per atom
data_Na2TeRu
_chemical_formula_sum 'Na8 Te4 Ru4'
_cell_length_a 3.976
_cell_length_b 3.976
_cell_length_c 21.690
_cell_angle_alpha 90.00
_cell_angle_beta 90.00
_cell_angle_gamma 90.00
_symmetry_space_group_name_H-M 'I -4 2 d'
_symmetry_Int_Tables_number 122
_symmetry_space_group_name_Hall 'I -4 2bw'
loop_
_atom_site_label
_atom_site_type_symbol
_atom_site_fract_x
_atom_site_fract_y
_atom_site_fract_z
Na1 Na 0.242 0.250 0.125
Te1 Te 0.000 0.000 0.500
Ru1 Ru 0.000 0.000 0.000



# NaTiTeRu2, relaxed, DFT PBE
# Calculated total energy = -4.921 eV per atom
# ΔE_f (raw) = 1.260 eV per atom
data_NaTiTeRu2
_chemical_formula_sum 'Na1 Ti1 Te1 Ru2'
_cell_length_a 4.823
_cell_length_b 4.823
_cell_length_c 5.060
_cell_angle_alpha 90.00
_cell_angle_beta 90.00
_cell_angle_gamma 90.00
_symmetry_space_group_name_H-M 'P 4/m m m'
_symmetry_Int_Tables_number 123
_symmetry_space_group_name_Hall '-P 4 2'
loop_
_atom_site_label
_atom_site_type_symbol
_atom_site_fract_x
_atom_site_fract_y
_atom_site_fract_z
Na1 Na 0.000 0.000 0.000
Ti1 Ti 0.500 0.500 0.000
Te1 Te 0.000 0.000 0.500
Ru1 Ru 0.000 0.500 0.500



# NaTh2Ru, relaxed, DFT PBE
# Energy of formation from the pure elements = -0.04 eV per atom
# Calculated total energy = -6.403 eV per atom
data_NaTh2Ru
_chemical_formula_sum 'Na3 Th6 Ru3'
_cell_length_a 4.0586
_cell_length_b 4.0586
_cell_length_c 31.7266
_cell_angle_alpha 90.00
_cell_angle_beta 90.00
_cell_angle_gamma 120.00
_symmetry_space_group_name_H-M 'R -3 m'
_symmetry_Int_Tables_number 166
_symmetry_space_group_name_Hall '-R 3 2"'
loop_
_atom_site_label
_atom_site_type_symbol
_atom_site_fract_x
_atom_site_fract_y
_atom_site_fract_z
Na1 Na 0.0000 0.0000 0.0000
Th1 Th 0.0000 0.0000 0.1190
Ru1 Ru 0.0000 0.0000 0.5000



# NaTi2Ru2, relaxed, DFT PBE
# Energy of formation from the pure elements = -0.11 eV per atom
# Calculated total energy = -7.240 eV per atom
data_NaTi2Ru2
_chemical_formula_sum 'Na2 Ti4 Ru4'
_cell_length_a 7.537
_cell_length_b 7.537
_cell_length_c 2.964
_cell_angle_alpha 90.00
_cell_angle_beta 90.00
_cell_angle_gamma 90.00
_symmetry_space_group_name_H-M 'P 4/m b m'
_symmetry_Int_Tables_number 127
_symmetry_space_group_name_Hall '-P 4 2ab'
loop_
_atom_site_label
_atom_site_type_symbol
_atom_site_fract_x
_atom_site_fract_y
_atom_site_fract_z
Na1 Na 0.000 0.000 0.000
Ti1 Ti 0.143 0.357 0.500
Ru1 Ru 0.142 0.642 0.000



# NaTiRu3, relaxed, DFT PBE
# Energy of formation from the pure elements = 1.09 eV per atom
# Calculated total energy = -6.315 eV per atom
# Energy above the lowest structure with this stoichiometry = 0.0 kJ/mol of formula units
data_NaTiRu3
_chemical_formula_sum 'Na1 Ti1 Ru3'
_cell_length_a 4.614
_cell_length_b 4.614
_cell_length_c 4.614
_cell_angle_alpha 90.00
_cell_angle_beta 90.00
_cell_angle_gamma 90.00
_symmetry_space_group_name_H-M 'P m -3 m'
_symmetry_Int_Tables_number 221
_symmetry_space_group_name_Hall '-P 4 2 3'
loop_
_atom_site_label
_atom_site_type_symbol
_atom_site_fract_x
_atom_site_fract_y
_atom_site_fract_z
Na1 Na 0.000 0.000 0.000
Ti1 Ti 0.500 0.500 0.500
Ru1 Ru 0.000 0.500 0.500



# Na2TlRu, relaxed, DFT PBE
# Energy of formation from the pure elements = 0.74 eV per atom
# Calculated total energy = -2.832 eV per atom
# Energy above the lowest structure with this stoichiometry = 15.7 kJ/mol of formula units
data_Na2TlRu
_chemical_formula_sum 'Na8 Tl4 Ru4'
_cell_length_a 7.045
_cell_length_b 7.045
_cell_length_c 7.045
_cell_angle_alpha 90.00
_cell_angle_beta 90.00
_cell_angle_gamma 90.00
_symmetry_space_group_name_H-M 'F m -3 m'
_symmetry_Int_Tables_number 225
_symmetry_space_group_name_Hall '-F 4 2 3'
loop_
_atom_site_label
_atom_site_type_symbol
_atom_site_fract_x
_atom_site_fract_y
_atom_site_fract_z
Na1 Na 0.250 0.250 0.250
Tl1 Tl 0.000 0.000 0.000
Ru1 Ru 0.000 0.000 0.500



# Na3TlRu, relaxed, DFT PBE
# Energy of formation from the pure elements = 0.90 eV per atom
# Calculated total energy = -2.216 eV per atom
# Energy above the lowest structure with this stoichiometry = 0.0 kJ/mol of formula units
data_Na3TlRu
_chemical_formula_sum 'Na3 Tl1 Ru1'
_cell_length_a 5.459
_cell_length_b 5.459
_cell_length_c 5.459
_cell_angle_alpha 90.00
_cell_angle_beta 90.00
_cell_angle_gamma 90.00
_symmetry_space_group_name_H-M 'P m -3 m'
_symmetry_Int_Tables_number 221
_symmetry_space_group_name_Hall '-P 4 2 3'
loop_
_atom_site_label
_atom_site_type_symbol
_atom_site_fract_x
_atom_site_fract_y
_atom_site_fract_z
Na1 Na 0.000 0.000 0.500
Tl1 Tl 0.500 0.500 0.500
Ru1 Ru 0.000 0.000 0.000



# NaTl2Ru, relaxed, DFT PBE
# Energy of formation from the pure elements = 0.67 eV per atom
# Calculated total energy = -3.163 eV per atom
data_NaTl2Ru
_chemical_formula_sum 'Na4 Tl8 Ru4'
_cell_length_a 5.314
_cell_length_b 5.314
_cell_length_c 17.264
_cell_angle_alpha 90.00
_cell_angle_beta 90.00
_cell_angle_gamma 90.00
_symmetry_space_group_name_H-M 'I -4 2 d'
_symmetry_Int_Tables_number 122
_symmetry_space_group_name_Hall 'I -4 2bw'
loop_
_atom_site_label
_atom_site_type_symbol
_atom_site_fract_x
_atom_site_fract_y
_atom_site_fract_z
Na1 Na 0.000 0.000 0.000
Tl1 Tl 0.159 0.250 0.625
Ru1 Ru 0.000 0.000 0.500



# Na2Tl2Ru, relaxed, DFT PBE
# Energy of formation from the pure elements = 0.35 eV per atom
# Calculated total energy = -2.976 eV per atom
data_Na2Tl2Ru
_chemical_formula_sum 'Na4 Tl4 Ru2'
_cell_length_a 7.185
_cell_length_b 7.185
_cell_length_c 5.179
_cell_angle_alpha 90.00
_cell_angle_beta 90.00
_cell_angle_gamma 90.00
_symmetry_space_group_name_H-M 'P 4/m b m'
_symmetry_Int_Tables_number 127
_symmetry_space_group_name_Hall '-P 4 2ab'
loop_
_atom_site_label
_atom_site_type_symbol
_atom_site_fract_x
_atom_site_fract_y
_atom_site_fract_z
Na1 Na 0.174 0.326 0.000
Tl1 Tl 0.162 0.662 0.500
Ru1 Ru 0.000 0.000 0.500